1.
First-principles (PBEsol) data for a relaxed structure of Pb2O3, as listed in Alexandria via LeMat-Bulk.

a b c (Å): 3.5217 5.6650 7.2800
angles (deg): 90.00 90.00 90.00
Closest atoms and distances in Å follow each position.
Element x y z (fractional)
Pb  0.5000  0.3323  0.1005  7 O 2.25-2.32
Pb  0.5000  0.8529  0.3835  3 O 2.35-2.49
Pb  0.0000  0.3529  0.6165  3 O 2.35-2.49
Pb  0.0000  0.8323  0.8995  7 O 2.25-2.32
O  0.0000  0.0801  0.1405  3 Pb 2.25-2.29
O  0.0000  0.5775  0.1484  3 Pb 2.27-2.32
O  0.5000  0.2913  0.4084  4 Pb 2.25-2.49
O  0.0000  0.7913  0.5916  4 Pb 2.25-2.49
O  0.5000  0.0775  0.8516  3 Pb 2.27-2.32
O  0.5000  0.5801  0.8595  3 Pb 2.25-2.29

Properties
Its total energy is -56.64 eV for the cell shown. For the density of states at the Fermi level, the calculation gives 0.5 states/eV per cell.

2.
First-principles (PBEsol) data for a relaxed structure of Pb2O3, as listed in Alexandria via LeMat-Bulk.

a b c (Å): 5.6685 7.5616 7.8051
angles (deg): 112.88 90.00 90.00
Closest atoms and distances in Å follow each position.
Element x y z (fractional)
Pb  0.2458  0.9095  0.8829  6 O 2.12-2.22
Pb  0.7458  0.0905  0.6171  6 O 2.12-2.22
Pb  0.7542  0.0905  0.1171  6 O 2.12-2.22
Pb  0.2542  0.9095  0.3829  6 O 2.12-2.22
Pb  0.2598  0.3885  0.8582  3 O 2.29-2.46
Pb  0.7598  0.6115  0.6418  3 O 2.29-2.46
Pb  0.7402  0.6115  0.1418  3 O 2.29-2.46
Pb  0.2402  0.3885  0.3582  3 O 2.29-2.46
O  0.3728  0.6279  0.7310  2 Pb 2.12-2.29
O  0.8728  0.3721  0.7690  2 Pb 2.12-2.29
O  0.6272  0.3721  0.2690  2 Pb 2.12-2.29
O  0.1272  0.6279  0.2310  2 Pb 2.12-2.29
O  0.0930  0.1915  0.0500  3 Pb 2.20-2.43
O  0.5930  0.8085  0.4500  3 Pb 2.20-2.43
O  0.9070  0.8085  0.9500  3 Pb 2.20-2.43
O  0.4071  0.1915  0.5500  3 Pb 2.20-2.43
O  0.5639  0.0715  0.8614  3 Pb 2.22
O  0.0639  0.9285  0.6386  3 Pb 2.22
O  0.4361  0.9285  0.1386  3 Pb 2.22
O  0.9361  0.0715  0.3614  3 Pb 2.22

Properties
Its total energy is -114.48 eV for the cell shown.

3.
First-principles (PBEsol) data for a relaxed structure of Pb3O5, as listed in Alexandria via LeMat-Bulk.

a b c (Å): 7.9080 10.8898 11.9569
angles (deg): 90.00 109.31 90.00
Closest atoms and distances in Å follow each position.
Element x y z (fractional)
Pb  0.5127  0.7500  0.5253  6 O 2.13-2.31
Pb  0.4873  0.2500  0.4747  6 O 2.13-2.31
Pb  0.6682  0.2500  0.8363  6 O 2.47-2.73
Pb  0.3345  0.4977  0.6690  1 O 2.31
Pb  0.8345  0.0023  0.6690  1 O 2.31
Pb  0.5000  0.5000  0.0000  2 O 2.09
Pb  0.8296  0.2500  0.1593  6 O 2.14-2.20
Pb  0.1655  0.9977  0.3310  1 O 2.31
Pb  0.1682  0.2500  0.8363  6 O 2.47-2.73
Pb  0.6704  0.7500  0.8407  6 O 2.14-2.20
Pb  0.6655  0.5023  0.3310  1 O 2.31
Pb  0.3260  0.9936  0.6520  6 O 2.13-2.37
Pb  0.3318  0.7500  0.1637  6 O 2.47-2.73
Pb  0.1740  0.4936  0.3480  6 O 2.13-2.37
Pb  0.8260  0.5064  0.6520  6 O 2.13-2.37
Pb  0.8318  0.7500  0.1637  6 O 2.47-2.73
Pb  0.9873  0.2500  0.4747  6 O 2.13-2.31
Pb  0.5000  0.0000  0.0000  6 O 2.17-2.19
Pb  0.1704  0.7500  0.8407  6 O 2.14-2.20
Pb  0.0000  0.5000  0.0000  6 O 2.17-2.19
Pb  0.3296  0.2500  0.1593  6 O 2.14-2.20
Pb  0.0000  0.0000  0.0000  2 O 2.09
Pb  0.0127  0.7500  0.5253  6 O 2.13-2.31
Pb  0.6740  0.0064  0.3480  6 O 2.13-2.37
O  0.6206  0.6250  0.6899  3 Pb 2.19-2.31
O  0.9062  0.8924  0.4002  2 Pb 2.13
O  0.0060  0.3924  0.5998  2 Pb 2.13
O  0.9117  0.4222  0.8233  2 Pb 2.14-2.17
O  0.7904  0.3775  0.0162  2 Pb 2.14-2.19
O  0.3794  0.3750  0.3101  3 Pb 2.19-2.31
O  0.1206  0.8750  0.6899  3 Pb 2.19-2.31
O  0.0765  0.8920  0.1530  2 Pb 2.09-2.31
O  0.0758  0.1623  0.1516  3 Pb 2.20-2.46
O  0.2258  0.3775  0.0162  2 Pb 2.14-2.19
O  0.4235  0.3920  0.8470  2 Pb 2.09-2.31
O  0.0693  0.6250  0.6899  3 Pb 2.19-2.31
O  0.4242  0.6623  0.8484  3 Pb 2.20-2.46
O  0.2552  0.8328  0.5105  3 Pb 2.18-2.37
O  0.9940  0.6076  0.4002  2 Pb 2.13
O  0.4062  0.6076  0.4002  2 Pb 2.13
O  0.7096  0.8775  0.9838  2 Pb 2.14-2.19
O  0.7552  0.6672  0.5105  3 Pb 2.18-2.37
O  0.9235  0.1080  0.8470  2 Pb 2.09-2.31
O  0.5883  0.9222  0.1767  2 Pb 2.14-2.17
O  0.0938  0.1076  0.5998  2 Pb 2.13
O  0.2742  0.8775  0.9838  2 Pb 2.14-2.19
O  0.2904  0.1225  0.0162  2 Pb 2.14-2.19
O  0.5765  0.6080  0.1530  2 Pb 2.09-2.31
O  0.5693  0.8750  0.6899  3 Pb 2.19-2.31
O  0.7742  0.6225  0.9838  2 Pb 2.14-2.19
O  0.5758  0.3377  0.1516  3 Pb 2.20-2.46
O  0.5938  0.3924  0.5998  2 Pb 2.13
O  0.4117  0.0778  0.8233  2 Pb 2.14-2.17
O  0.9307  0.3750  0.3101  3 Pb 2.19-2.31
O  0.4940  0.8924  0.4002  2 Pb 2.13
O  0.5060  0.1076  0.5998  2 Pb 2.13
O  0.7258  0.1225  0.0162  2 Pb 2.14-2.19
O  0.8794  0.1250  0.3101  3 Pb 2.19-2.31
O  0.7448  0.1672  0.4895  3 Pb 2.18-2.37
O  0.0883  0.5778  0.1767  2 Pb 2.14-2.17
O  0.9242  0.8377  0.8484  3 Pb 2.20-2.46
O  0.2448  0.3328  0.4895  3 Pb 2.18-2.37
O  0.4307  0.1250  0.3101  3 Pb 2.19-2.31
O  0.2096  0.6225  0.9838  2 Pb 2.14-2.19

Properties
Its total energy is -362.79 eV for the cell shown.

4.
First-principles (PBEsol) data for a relaxed structure of Pb3O4, as listed in Alexandria via LeMat-Bulk.

a b c (Å): 6.6736 8.8189 8.8189
angles (deg): 90.00 90.00 90.00
Closest atoms and distances in Å follow each position.
Element x y z (fractional)
Pb  0.2500  0.5000  0.0000  6 O 2.15-2.22
Pb  0.7500  0.0000  0.5000  6 O 2.15-2.22
Pb  0.7500  0.5000  0.0000  6 O 2.15-2.22
Pb  0.2500  0.0000  0.5000  6 O 2.15-2.22
Pb  0.0000  0.1426  0.1631  3 O 2.23-2.34
Pb  0.5000  0.1631  0.8574  3 O 2.23-2.34
Pb  0.5000  0.8369  0.1426  3 O 2.23-2.34
Pb  0.0000  0.8574  0.8369  3 O 2.23-2.34
Pb  0.0000  0.3574  0.6631  3 O 2.23-2.34
Pb  0.0000  0.6426  0.3369  3 O 2.23-2.34
Pb  0.5000  0.6631  0.6426  3 O 2.23-2.34
Pb  0.5000  0.3369  0.3574  3 O 2.23-2.34
O  0.2500  0.6725  0.1725  3 Pb 2.15-2.23
O  0.7500  0.1725  0.3275  3 Pb 2.15-2.23
O  0.7500  0.8275  0.6725  3 Pb 2.15-2.23
O  0.2500  0.3275  0.8275  3 Pb 2.15-2.23
O  0.7500  0.3275  0.8275  3 Pb 2.15-2.23
O  0.2500  0.8275  0.6725  3 Pb 2.15-2.23
O  0.2500  0.1725  0.3275  3 Pb 2.15-2.23
O  0.7500  0.6725  0.1725  3 Pb 2.15-2.23
O  0.0000  0.4070  0.1376  3 Pb 2.22-2.34
O  0.5000  0.1376  0.5930  3 Pb 2.22-2.34
O  0.5000  0.8624  0.4070  3 Pb 2.22-2.34
O  0.0000  0.5930  0.8624  3 Pb 2.22-2.34
O  0.0000  0.0930  0.6376  3 Pb 2.22-2.34
O  0.0000  0.9070  0.3624  3 Pb 2.22-2.34
O  0.5000  0.6376  0.9070  3 Pb 2.22-2.34
O  0.5000  0.3624  0.0930  3 Pb 2.22-2.34

Properties
For the energy above the lowest structure with this stoichiometry, the calculation gives 0.0 meV per atom.